Record 1
LaHoPu2Se4 | the Alexandria database | PBE-GGA | relaxed; density of states at the Fermi level = 1.878 states/eV per atom; DFT total energy = -8.088 eV/atom; symmetry = No. 10; E_form (uncorrected) = -1.575 eV/atom
1.0
7.129 0.000 0.000
0.000 4.087 0.000
-0.032 0.000 7.252
La Ho Pu Se
1 1 2 4
direct
0.000 0.000 0.000
0.500 0.500 0.000
0.000 0.000 0.500
0.500 0.500 0.500
0.178 0.500 0.745
0.343 0.000 0.246
0.657 0.000 0.754
0.822 0.500 0.255

Record 2
La3HoPu2Se6 | the Alexandria database | PBE-GGA | relaxed; density of states at the Fermi level = 1.660 states/eV per atom; DFT total energy = -7.549 eV/atom; symmetry = No. 12; E_form (uncorrected) = -1.804 eV/atom
1.0
3.638 -6.302 0.000
3.638 6.302 0.000
-2.425 0.000 6.935
La Ho Pu Se
3 1 2 6
direct
0.000 0.000 0.000
0.332 0.668 0.000
0.668 0.332 0.000
0.500 0.500 0.500
0.166 0.834 0.500
0.834 0.166 0.500
0.093 0.422 0.266
0.250 0.250 0.737
0.422 0.093 0.266
0.578 0.907 0.734
0.750 0.750 0.263
0.907 0.578 0.734

Record 3
LaHoPuSn | the Alexandria database | PBE-GGA | relaxed; density of states at the Fermi level = 4.501 states/eV per atom; DFT total energy = -7.138 eV/atom; symmetry = No. 216; energy relative to the elements = -0.71 eV/f.u.
1.0
0.000 3.866 3.866
3.866 0.000 3.866
3.866 3.866 0.000
La Ho Pu Sn
1 1 1 1
direct
0.000 0.000 0.000
0.500 0.500 0.500
0.250 0.250 0.250
0.750 0.750 0.750

Record 4
La3Tb6Ho2Pu | the Alexandria database | PBE-GGA | relaxed; density of states at the Fermi level = 1.953 states/eV per atom; DFT total energy = -5.456 eV/atom; symmetry = No. 12; energy relative to the elements = 0.58 eV/f.u.
1.0
3.107 -5.386 0.000
3.107 5.386 0.000
-2.081 0.000 11.649
La Tb Ho Pu
3 6 2 1
direct
0.000 0.000 0.000
0.333 0.667 0.000
0.667 0.333 0.000
0.090 0.420 0.258
0.251 0.251 0.743
0.420 0.090 0.258
0.580 0.910 0.742
0.749 0.749 0.257
0.910 0.580 0.742
0.167 0.833 0.500
0.833 0.167 0.500
0.500 0.500 0.500

Record 5
La2Tb3Ho6Pu | the Alexandria database | PBE-GGA | relaxed; density of states at the Fermi level = 1.952 states/eV per atom; DFT total energy = -5.416 eV/atom; symmetry = No. 12; energy relative to the elements = 0.56 eV/f.u.
1.0
3.081 -5.343 0.000
3.081 5.343 0.000
-2.064 0.000 11.561
La Tb Ho Pu
2 3 6 1
direct
0.166 0.834 0.000
0.834 0.166 0.000
0.000 0.000 0.500
0.333 0.667 0.500
0.667 0.333 0.500
0.088 0.416 0.748
0.256 0.256 0.252
0.416 0.088 0.748
0.584 0.912 0.252
0.744 0.744 0.748
0.912 0.584 0.252
0.500 0.500 0.000

Record 6
La4Ho3PuTe8 | the Alexandria database | PBE-GGA | relaxed; density of states at the Fermi level = 1.123 states/eV per atom; DFT total energy = -5.967 eV/atom; symmetry = No. 166; E_form (uncorrected) = -1.410 eV/atom
1.0
4.451 2.570 7.364
-4.451 2.570 7.364
0.000 -5.139 7.364
La Ho Pu Te
4 3 1 8
direct
0.000 0.000 0.000
0.000 0.500 0.500
0.500 0.000 0.500
0.500 0.500 0.000
0.000 0.000 0.500
0.000 0.500 0.000
0.500 0.000 0.000
0.500 0.500 0.500
0.241 0.746 0.746
0.244 0.244 0.244
0.254 0.254 0.759
0.254 0.759 0.254
0.746 0.241 0.746
0.746 0.746 0.241
0.756 0.756 0.756
0.759 0.254 0.254

Record 7
La2Ho3PuTe6 | the Alexandria database | PBE-GGA | relaxed; density of states at the Fermi level = 1.135 states/eV per atom; DFT total energy = -6.084 eV/atom; symmetry = No. 12; E_form (uncorrected) = -1.353 eV/atom
1.0
9.692 -2.201 0.000
9.692 2.201 0.000
-2.160 0.000 8.666
La Ho Pu Te
2 3 1 6
direct
0.166 0.166 0.333
0.834 0.834 0.667
0.169 0.169 0.836
0.500 0.500 0.500
0.831 0.831 0.164
0.500 0.500 0.000
0.005 0.005 0.748
0.333 0.333 0.928
0.337 0.337 0.405
0.663 0.663 0.595
0.667 0.667 0.072
0.995 0.995 0.252

Record 8
LaHoPu2Te5 | the Alexandria database | PBE-GGA | relaxed; density of states at the Fermi level = 3.526 states/eV per atom; DFT total energy = -6.766 eV/atom; symmetry = No. 123; E_form (uncorrected) = -0.779 eV/atom
1.0
5.513 0.000 0.000
0.000 5.513 0.000
0.000 0.000 11.870
La Ho Pu Te
1 1 2 5
direct
0.000 0.000 0.000
0.000 0.000 0.500
0.500 0.500 0.328
0.500 0.500 0.672
0.000 0.000 0.250
0.000 0.000 0.750
0.000 0.500 0.500
0.500 0.000 0.500
0.500 0.500 0.000

Record 9
La3Ho2PuTe6 | the Alexandria database | PBE-GGA | relaxed; density of states at the Fermi level = 1.054 states/eV per atom; DFT total energy = -6.169 eV/atom; symmetry = No. 12; E_form (uncorrected) = -1.409 eV/atom
1.0
9.775 -2.220 0.000
9.775 2.220 0.000
-2.162 0.000 8.748
La Ho Pu Te
3 2 1 6
direct
0.000 0.000 0.000
0.335 0.335 0.667
0.665 0.665 0.333
0.336 0.336 0.171
0.664 0.664 0.829
0.000 0.000 0.500
0.165 0.165 0.594
0.172 0.172 0.072
0.496 0.496 0.255
0.504 0.504 0.745
0.828 0.828 0.928
0.835 0.835 0.406

Record 10
LaHoPuTh | the Alexandria database | PBE-GGA | relaxed; density of states at the Fermi level = 3.506 states/eV per atom; DFT total energy = -7.610 eV/atom; symmetry = No. 216; energy relative to the elements = 0.82 eV/f.u.
1.0
0.000 3.983 3.983
3.983 0.000 3.983
3.983 3.983 0.000
La Ho Pu Th
1 1 1 1
direct
0.000 0.000 0.000
0.750 0.750 0.750
0.250 0.250 0.250
0.500 0.500 0.500

Record 11
La3Ho6Tm2Pu | the Alexandria database | PBE-GGA | relaxed; density of states at the Fermi level = 1.848 states/eV per atom; DFT total energy = -5.412 eV/atom; symmetry = No. 12; energy relative to the elements = 0.58 eV/f.u.
1.0
3.084 -5.344 0.000
3.084 5.344 0.000
-2.062 0.000 11.561
La Ho Tm Pu
3 6 2 1
direct
0.000 0.000 0.000
0.332 0.668 0.000
0.668 0.332 0.000
0.090 0.419 0.258
0.251 0.251 0.742
0.419 0.090 0.258
0.581 0.910 0.742
0.749 0.749 0.258
0.910 0.581 0.742
0.167 0.833 0.500
0.833 0.167 0.500
0.500 0.500 0.500

Record 12
LaHoTmPu | the Alexandria database | PBE-GGA | relaxed; density of states at the Fermi level = 3.062 states/eV per atom; DFT total energy = -6.877 eV/atom; symmetry = No. 216; energy relative to the elements = 0.80 eV/f.u.
1.0
0.000 3.975 3.975
3.975 0.000 3.975
3.975 3.975 0.000
La Ho Tm Pu
1 1 1 1
direct
0.000 0.000 0.000
0.500 0.500 0.500
0.750 0.750 0.750
0.250 0.250 0.250

Record 13
Rb2LaHoS4 | the Alexandria database | PBE-GGA | relaxed; density of states at the Fermi level = 0.000 states/eV per atom; DFT total energy = -5.360 eV/atom; symmetry = No. 10; E_form (uncorrected) = -1.866 eV/atom
1.0
7.266 0.000 0.000
0.000 4.192 0.000
-2.414 0.000 7.694
Rb La Ho S
2 1 1 4
direct
0.000 0.000 0.000
0.500 0.500 0.000
0.000 0.500 0.500
0.500 0.000 0.500
0.244 0.000 0.696
0.281 0.500 0.308
0.719 0.500 0.692
0.756 0.000 0.304

Record 14
Rb4La3HoS8 | the Alexandria database | PBE-GGA | relaxed; density of states at the Fermi level = 0.000 states/eV per atom; DFT total energy = -5.396 eV/atom; symmetry = No. 166; E_form (uncorrected) = -1.880 eV/atom
1.0
4.260 2.460 7.688
-4.260 2.460 7.688
0.000 -4.920 7.688
Rb La Ho S
4 3 1 8
direct
0.000 0.000 0.000
0.000 0.500 0.500
0.500 0.000 0.500
0.500 0.500 0.000
0.000 0.000 0.500
0.000 0.500 0.000
0.500 0.000 0.000
0.500 0.500 0.500
0.233 0.233 0.233
0.243 0.726 0.726
0.274 0.274 0.757
0.274 0.757 0.274
0.726 0.243 0.726
0.726 0.726 0.243
0.757 0.274 0.274
0.767 0.767 0.767

Record 15
Rb3La2HoSe6 | the Alexandria database | PBE-GGA | relaxed; density of states at the Fermi level = 0.000 states/eV per atom; DFT total energy = -4.971 eV/atom; symmetry = No. 12; E_form (uncorrected) = -1.784 eV/atom
1.0
3.801 -6.584 0.000
3.801 6.584 0.000
-2.538 0.000 8.001
Rb La Ho Se
3 2 1 6
direct
0.000 0.000 0.000
0.332 0.668 0.000
0.668 0.332 0.000
0.166 0.834 0.500
0.834 0.166 0.500
0.500 0.500 0.500
0.113 0.434 0.301
0.246 0.246 0.699
0.434 0.113 0.301
0.566 0.887 0.699
0.754 0.754 0.301
0.887 0.566 0.699

Record 16
Rb3La3HoSe8 | the Alexandria database | PBE-GGA | relaxed; density of states at the Fermi level = 1.043 states/eV per atom; DFT total energy = -5.050 eV/atom; symmetry = No. 12; E_form (uncorrected) = -1.707 eV/atom
1.0
7.619 -4.395 0.000
7.619 4.395 0.000
-5.089 0.000 8.095
Rb La Ho Se
3 3 1 8
direct
0.000 0.000 0.000
0.000 0.500 0.000
0.500 0.000 0.000
0.000 0.500 0.500
0.500 0.000 0.500
0.500 0.500 0.500
0.000 0.000 0.500
0.224 0.224 0.692
0.224 0.745 0.692
0.255 0.776 0.308
0.266 0.266 0.298
0.734 0.734 0.702
0.745 0.224 0.692
0.776 0.255 0.308
0.776 0.776 0.308

Record 17
Rb3LaHo2Se6 | the Alexandria database | PBE-GGA | relaxed; density of states at the Fermi level = 0.000 states/eV per atom; DFT total energy = -4.915 eV/atom; symmetry = No. 12; E_form (uncorrected) = -1.757 eV/atom
1.0
3.730 -6.460 0.000
3.730 6.460 0.000
-2.490 0.000 7.999
Rb La Ho Se
3 1 2 6
direct
0.000 0.000 0.000
0.335 0.665 0.000
0.665 0.335 0.000
0.500 0.500 0.500
0.167 0.833 0.500
0.833 0.167 0.500
0.088 0.434 0.303
0.220 0.220 0.697
0.434 0.088 0.303
0.566 0.912 0.697
0.780 0.780 0.303
0.912 0.566 0.697

Record 18
Rb4La3HoSe8 | the Alexandria database | PBE-GGA | relaxed; density of states at the Fermi level = 0.000 states/eV per atom; DFT total energy = -4.984 eV/atom; symmetry = No. 166; E_form (uncorrected) = -1.789 eV/atom
1.0
4.410 2.546 8.000
-4.410 2.546 8.000
0.000 -5.092 8.000
Rb La Ho Se
4 3 1 8
direct
0.000 0.000 0.000
0.000 0.500 0.500
0.500 0.000 0.500
0.500 0.500 0.000
0.000 0.000 0.500
0.000 0.500 0.000
0.500 0.000 0.000
0.500 0.500 0.500
0.234 0.234 0.234
0.244 0.727 0.727
0.273 0.273 0.756
0.273 0.756 0.273
0.727 0.244 0.727
0.727 0.727 0.244
0.756 0.273 0.273
0.766 0.766 0.766

Record 19
Rb2LaHoSe4 | the Alexandria database | PBE-GGA | relaxed; density of states at the Fermi level = 0.000 states/eV per atom; DFT total energy = -4.939 eV/atom; symmetry = No. 10; E_form (uncorrected) = -1.767 eV/atom
1.0
7.533 0.000 0.000
0.000 4.347 0.000
-2.504 0.000 8.003
Rb La Ho Se
2 1 1 4
direct
0.000 0.000 0.000
0.500 0.500 0.000
0.000 0.500 0.500
0.500 0.000 0.500
0.245 0.000 0.700
0.279 0.500 0.304
0.721 0.500 0.696
0.755 0.000 0.300

Record 20
Rb3La2HoTe6 | the Alexandria database | PBE-GGA | relaxed; density of states at the Fermi level = 0.000 states/eV per atom; DFT total energy = -4.465 eV/atom; symmetry = No. 12; E_form (uncorrected) = -1.450 eV/atom
1.0
4.041 -6.999 0.000
4.041 6.999 0.000
-2.698 0.000 8.544
Rb La Ho Te
3 2 1 6
direct
0.000 0.000 0.000
0.330 0.670 0.000
0.670 0.330 0.000
0.166 0.834 0.500
0.834 0.166 0.500
0.500 0.500 0.500
0.111 0.432 0.297
0.247 0.247 0.704
0.432 0.111 0.297
0.568 0.889 0.703
0.753 0.753 0.296
0.889 0.568 0.703

Record 21
Rb2LaHoTe4 | the Alexandria database | PBE-GGA | relaxed; density of states at the Fermi level = 0.000 states/eV per atom; DFT total energy = -4.429 eV/atom; symmetry = No. 10; E_form (uncorrected) = -1.428 eV/atom
1.0
8.021 0.000 0.000
0.000 4.627 0.000
-2.666 0.000 8.548
Rb La Ho Te
2 1 1 4
direct
0.000 0.000 0.000
0.500 0.500 0.000
0.000 0.500 0.500
0.500 0.000 0.500
0.246 0.000 0.704
0.277 0.500 0.300
0.723 0.500 0.700
0.754 0.000 0.296